# PBE ReRh7, optimized geometry
data_ReRh7
_chemical_formula_sum 'Re3 Rh21'
_space_group_name_H-M_alt 'R -3 m'
_space_group_IT_number 166
_space_group_name_Hall '-R 3 2"'
_cell_length_a 4.3849
_cell_length_b 4.3849
_cell_length_c 21.4624
_cell_angle_alpha 90.00
_cell_angle_beta 90.00
_cell_angle_gamma 120.00
loop_
_atom_site_label
_atom_site_fract_x
_atom_site_fract_y
_atom_site_fract_z
_atom_site_occupancy
Re1 0.0000 0.0000 0.0000 1
Rh1 0.0000 0.0000 0.1136 1
Rh2 0.0000 0.0000 0.2385 1
Rh3 0.0000 0.0000 0.3638 1
Rh4 0.0000 0.0000 0.5000 1
# Energy in eV per atom: -7.679
# Distance to the lowest polymorph of the same formula in meV/atom: 371.2